[1]
Tb6Ni2Os | PBE | relaxed

- Formation enthalpy at 0 K: -220 kJ/mol of formula units
- Magnetization: 0.0 Bohr magnetons per cell
- Mass density: 9.79 g/cm³
- SG: No. 71

Unit cell a=8.223 b=8.223 c=8.223 alpha=110.42 beta=109.43 gamma=108.57
Positions (direct):
Tb1 0.058 0.241 0.817
Tb2 0.170 0.477 0.307
Tb3 0.170 0.864 0.693
Tb4 0.326 0.240 0.566
Tb5 0.326 0.760 0.086
Tb6 0.423 0.241 0.183
Tb7 0.577 0.759 0.817
Tb8 0.674 0.240 0.914
Tb9 0.674 0.760 0.434
Tb10 0.830 0.136 0.307
Tb11 0.830 0.523 0.693
Tb12 0.942 0.759 0.183
Ni1 0.163 0.500 0.663
Ni2 0.381 0.881 0.500
Ni3 0.619 0.119 0.500
Ni4 0.837 0.500 0.337
Os1 0.000 0.000 0.000
Os2 0.500 0.500 0.000

=====

[2]
TbNiOs | PBE | relaxed

- Formation enthalpy at 0 K: -104 kJ/mol of formula units
- Magnetization: 0.0 Bohr magnetons per cell
- Mass density: 13.32 g/cm³
- SG: No. 74

Unit cell a=5.283 b=5.283 c=5.283 alpha=122.38 beta=120.68 gamma=87.38
Positions (direct):
Tb1 0.371 0.121 0.250
Tb2 0.629 0.879 0.750
Ni1 0.000 0.500 0.500
Ni2 0.500 0.500 0.000
Os1 0.000 0.000 0.500
Os2 0.000 0.500 0.000

=====

[3]
Tb8NiOs2 | PBE | relaxed

- Formation enthalpy at 0 K: -137 kJ/mol of formula units
- Magnetization: 0.0 Bohr magnetons per cell
- Mass density: 9.59 g/cm³
- SG: No. 8

Unit cell a=7.535 b=7.535 c=5.943 alpha=100.65 beta=100.65 gamma=111.64
Positions (direct):
Tb1 0.000 0.000 0.000
Tb2 0.027 0.289 0.588
Tb3 0.150 0.572 0.201
Tb4 0.289 0.027 0.588
Tb5 0.444 0.707 0.797
Tb6 0.572 0.150 0.201
Tb7 0.707 0.444 0.797
Tb8 0.724 0.724 0.393
Ni1 0.360 0.360 0.363
Os1 0.056 0.678 0.691
Os2 0.678 0.056 0.691

=====

[4]
Tb8Ni2Os | PBE | relaxed

- Formation enthalpy at 0 K: -122 kJ/mol of formula units
- Magnetization: 0.0 Bohr magnetons per cell
- Mass density: 9.02 g/cm³
- SG: No. 8

Unit cell a=7.494 b=7.494 c=5.991 alpha=100.10 beta=100.10 gamma=114.10
Positions (direct):
Tb1 0.000 0.000 0.000
Tb2 0.019 0.278 0.592
Tb3 0.146 0.571 0.179
Tb4 0.278 0.019 0.592
Tb5 0.437 0.693 0.786
Tb6 0.571 0.146 0.179
Tb7 0.693 0.437 0.786
Tb8 0.714 0.714 0.353
Ni1 0.046 0.663 0.678
Ni2 0.663 0.046 0.678
Os1 0.358 0.358 0.020

=====

[5]
Tb8Ni2Os | PBE | relaxed

- Formation enthalpy at 0 K: -213 kJ/mol of formula units
- Magnetization: 0.0 Bohr magnetons per cell
- Mass density: 9.49 g/cm³
- SG: No. 12

Unit cell a=8.916 b=8.916 c=6.665 alpha=105.03 beta=105.03 gamma=32.78
Positions (direct):
Tb1 0.036 0.036 0.295
Tb2 0.200 0.200 0.825
Tb3 0.330 0.330 0.525
Tb4 0.409 0.409 0.058
Tb5 0.591 0.591 0.942
Tb6 0.670 0.670 0.475
Tb7 0.800 0.800 0.175
Tb8 0.964 0.964 0.705
Ni1 0.190 0.190 0.217
Ni2 0.810 0.810 0.783
Os1 0.500 0.500 0.500

=====

[6]
TbNiOs | PBE | relaxed

- Formation enthalpy at 0 K: 43 kJ/mol of formula units
- Magnetization: 0.0 Bohr magnetons per cell
- Mass density: 10.67 g/cm³
- SG: No. 92

Unit cell a=6.962 b=6.962 c=5.239 alpha=90.00 beta=90.00 gamma=90.00
Positions (direct):
Tb1 0.236 0.236 0.000
Tb2 0.264 0.736 0.250
Tb3 0.736 0.264 0.750
Tb4 0.764 0.764 0.500
Ni1 0.208 0.792 0.750
Ni2 0.292 0.292 0.500
Ni3 0.708 0.708 0.000
Ni4 0.792 0.208 0.250
Os1 0.048 0.048 0.500
Os2 0.452 0.548 0.750
Os3 0.548 0.452 0.250
Os4 0.952 0.952 0.000

=====

[7]
Tb12Ni6Os | PBE | relaxed

- Formation enthalpy at 0 K: -472 kJ/mol of formula units
- Magnetization: 0.0 Bohr magnetons per cell
- Mass density: 9.33 g/cm³
- SG: No. 204

Unit cell a=8.274 b=8.274 c=8.274 alpha=109.47 beta=109.47 gamma=109.47
Positions (direct):
Tb1 0.114 0.295 0.819
Tb2 0.181 0.476 0.295
Tb3 0.181 0.886 0.705
Tb4 0.295 0.181 0.476
Tb5 0.295 0.819 0.114
Tb6 0.476 0.295 0.181
Tb7 0.524 0.705 0.819
Tb8 0.705 0.181 0.886
Tb9 0.705 0.819 0.524
Tb10 0.819 0.114 0.295
Tb11 0.819 0.524 0.705
Tb12 0.886 0.705 0.181
Ni1 0.127 0.500 0.627
Ni2 0.373 0.873 0.500
Ni3 0.500 0.373 0.873
Ni4 0.500 0.627 0.127
Ni5 0.627 0.127 0.500
Ni6 0.873 0.500 0.373
Os1 0.000 0.000 0.000

=====

[8]
TbYNiOs | PBE | relaxed

- Formation enthalpy at 0 K: -101 kJ/mol of formula units
- Magnetization: 0.0 Bohr magnetons per cell
- Mass density: 10.41 g/cm³
- SG: No. 216

Unit cell a=4.821 b=4.821 c=4.821 alpha=60.00 beta=60.00 gamma=60.00
Positions (direct):
Tb1 0.000 0.000 0.000
Y1 0.500 0.500 0.500
Ni1 0.250 0.250 0.250
Os1 0.750 0.750 0.750

=====

What did the third record say?
Tb8NiOs2 | PBE | relaxed

- Formation enthalpy at 0 K: -137 kJ/mol of formula units
- Magnetization: 0.0 Bohr magnetons per cell
- Mass density: 9.59 g/cm³
- SG: No. 8

Unit cell a=7.535 b=7.535 c=5.943 alpha=100.65 beta=100.65 gamma=111.64
Positions (direct):
Tb1 0.000 0.000 0.000
Tb2 0.027 0.289 0.588
Tb3 0.150 0.572 0.201
Tb4 0.289 0.027 0.588
Tb5 0.444 0.707 0.797
Tb6 0.572 0.150 0.201
Tb7 0.707 0.444 0.797
Tb8 0.724 0.724 0.393
Ni1 0.360 0.360 0.363
Os1 0.056 0.678 0.691
Os2 0.678 0.056 0.691